Material: Nd2TlBr2
Method: DFT, GGA-PBE
State: optimized geometry

raw total energy: -4.22 eV/atom
formation energy without anion corrections: -1.166 eV per atom
size of the total moment: 0.00 μB per atom
space-group type: R-3m

abc: 11.8448 11.8448 11.8448
angles: 20.40 20.40 20.40
Atoms (fractional coordinates):
Nd 0.1063 0.1063 0.1063
Nd 0.8937 0.8937 0.8937
Tl 0.5000 0.5000 0.5000
Br 0.2791 0.2791 0.2791
Br 0.7209 0.7209 0.7209